Model 1:
Below is Pm12Sm5Y2 after structural relaxation, with properties calculated at the PBE level.

a = 9.2576 Å, b = 9.2576 Å, c = 8.8204 Å
α = 92.21°, β = 92.21°, γ = 60.55°
With the nearest neighbours (Å) after each atom.
Fractional coordinates of all 19 atoms:
Pm1 0.0582 0.0582 0.3433  7 Pm 3.40-3.63, 2 Sm 3.42-3.72, 2 Y 3.51
Pm2 0.0651 0.6740 0.3199  4 Sm 3.44-3.83, 5 Pm 3.48-3.65, 1 Y 3.59
Pm3 0.1704 0.5320 0.7604  4 Pm 3.38-3.74, 1 Y 3.40, 3 Sm 3.56-3.78
Pm4 0.3260 0.9349 0.6801  4 Sm 3.44-3.83, 5 Pm 3.48-3.65, 1 Y 3.59
Pm5 0.4253 0.4253 0.1207  3 Pm 3.27-3.48, 2 Y 3.48, 2 Sm 3.50-3.54
Pm6 0.4680 0.8296 0.2396  4 Pm 3.38-3.74, 1 Y 3.40, 3 Sm 3.56-3.78
Pm7 0.5320 0.1704 0.7604  4 Pm 3.38-3.74, 1 Y 3.40, 3 Sm 3.56-3.78
Pm8 0.5747 0.5747 0.8793  3 Pm 3.27-3.48, 2 Y 3.48, 2 Sm 3.50-3.54
Pm9 0.6740 0.0651 0.3199  4 Sm 3.44-3.83, 5 Pm 3.48-3.65, 1 Y 3.59
Pm10 0.8296 0.4680 0.2396  4 Pm 3.38-3.74, 1 Y 3.40, 3 Sm 3.56-3.78
Pm11 0.9349 0.3260 0.6801  4 Sm 3.44-3.83, 5 Pm 3.48-3.65, 1 Y 3.59
Pm12 0.9418 0.9418 0.6567  7 Pm 3.40-3.63, 2 Sm 3.42-3.72, 2 Y 3.51
Sm1 0.2071 0.2071 0.0306  8 Pm 3.54-3.78, 1 Sm 3.63, 2 Y 3.68
Sm2 0.2683 0.2683 0.4323  8 Pm 3.42-3.80, 2 Sm 3.63-3.73
Sm3 0.5000 0.5000 0.5000  10 Pm 3.50-3.83, 2 Sm 3.73
Sm4 0.7317 0.7317 0.5677  8 Pm 3.42-3.80, 2 Sm 3.63-3.73
Sm5 0.7929 0.7929 0.9694  8 Pm 3.54-3.78, 1 Sm 3.63, 2 Y 3.68
Y1 0.1714 0.8286 0.0000  1 Y 3.20, 6 Pm 3.40-3.51
Y2 0.8286 0.1714 0.0000  1 Y 3.20, 6 Pm 3.40-3.51

Computed properties:
Magnetic moment in Bohr magnetons per cell: 0.00

=====

Model 2:
Below is Pm12Sm5Y2 after structural relaxation, with properties calculated at the PBE level.

a = 9.9217 Å, b = 9.9217 Å, c = 10.6741 Å
α = 109.43°, β = 109.43°, γ = 42.07°
With the nearest neighbours (Å) after each atom.
Fractional coordinates of all 19 atoms:
Pm1 0.0007 0.0007 0.1750  7 Pm 3.46-3.73, 2 Y 3.84
Pm2 0.0810 0.5864 0.9728  6 Pm 3.35-3.71, 3 Sm 3.49-3.74
Pm3 0.0936 0.5863 0.6289  6 Pm 3.46-3.71, 3 Sm 3.58-3.87, 1 Y 3.69
Pm4 0.4137 0.9064 0.3711  6 Pm 3.46-3.71, 3 Sm 3.58-3.87, 1 Y 3.69
Pm5 0.4136 0.9190 0.0272  6 Pm 3.35-3.71, 3 Sm 3.49-3.74
Pm6 0.4720 0.4720 0.2486  1 Sm 2.88, 2 Y 3.19
Pm7 0.5280 0.5280 0.7514  1 Sm 2.88, 2 Y 3.19
Pm8 0.5864 0.0810 0.9728  6 Pm 3.35-3.71, 3 Sm 3.49-3.74
Pm9 0.5863 0.0936 0.6289  6 Pm 3.46-3.71, 3 Sm 3.58-3.87, 1 Y 3.69
Pm10 0.9064 0.4137 0.3711  6 Pm 3.46-3.71, 3 Sm 3.58-3.87, 1 Y 3.69
Pm11 0.9190 0.4136 0.0272  6 Pm 3.35-3.71, 3 Sm 3.49-3.74
Pm12 0.9993 0.9993 0.8250  7 Pm 3.46-3.73, 2 Y 3.84
Sm1 0.1758 0.1758 0.7100  2 Sm 3.58, 2 Y 3.62, 9 Pm 3.72-3.96
Sm2 0.3127 0.3127 0.3152  5 Pm 3.27-3.65, 2 Sm 3.58
Sm3 0.5000 0.5000 0.0000  2 Pm 2.88
Sm4 0.6873 0.6873 0.6848  5 Pm 3.27-3.65, 2 Sm 3.58
Sm5 0.8242 0.8242 0.2900  2 Sm 3.58, 2 Y 3.62, 9 Pm 3.72-3.96
Y1 0.2309 0.7691 0.5000  2 Pm 3.19, 1 Y 3.29
Y2 0.7691 0.2309 0.5000  2 Pm 3.19, 1 Y 3.29

Computed properties:
Magnetic moment in Bohr magnetons per cell: 0.00

=====

Most stable to least stable, the ends of the list are model 1 and model 2.

=====

Model 1:
Below is PmSm7Y4 after structural relaxation, with properties calculated at the PBE level.

a = 6.7562 Å, b = 6.7562 Å, c = 12.8013 Å
α = 114.97°, β = 114.97°, γ = 52.82°
With the nearest neighbours (Å) after each atom.
Fractional coordinates of all 12 atoms:
Pm1 0.0000 0.0000 0.0000  4 Sm 3.00-3.14
Sm1 0.1286 0.1286 0.4982  2 Sm 3.13-3.32, 3 Y 3.32-3.50
Sm2 0.2645 0.2645 0.3256  4 Sm 3.31-3.61, 3 Y 3.68-3.69
Sm3 0.2885 0.2885 0.0788  1 Pm 3.14, 4 Sm 3.16-3.49, 4 Y 3.31-3.42
Sm4 0.5000 0.5000 0.0000  2 Pm 3.00, 2 Sm 3.16
Sm5 0.7115 0.7115 0.9212  1 Pm 3.14, 4 Sm 3.16-3.49, 4 Y 3.31-3.42
Sm6 0.7355 0.7355 0.6744  4 Sm 3.31-3.61, 3 Y 3.68-3.69
Sm7 0.8714 0.8714 0.5018  2 Sm 3.13-3.32, 3 Y 3.32-3.50
Y1 0.1390 0.1390 0.7758  7 Sm 3.42-3.68, 2 Y 3.72
Y2 0.4341 0.4341 0.6820  5 Sm 3.31-3.69
Y3 0.5659 0.5659 0.3180  5 Sm 3.31-3.69
Y4 0.8610 0.8610 0.2242  7 Sm 3.42-3.68, 2 Y 3.72

Computed properties:
Magnetic moment in Bohr magnetons per cell: 0.00

=====

Model 2:
Below is PmSm7Y4 after structural relaxation, with properties calculated at the PBE level.

a = 6.3062 Å, b = 7.2790 Å, c = 8.9761 Å
α = 89.98°, β = 76.46°, γ = 89.95°
With the nearest neighbours (Å) after each atom.
Fractional coordinates of all 12 atoms:
Pm1 0.0000 0.0000 0.0000  10 Sm 3.59-3.65, 2 Y 3.60
Sm1 0.0000 0.5000 0.0000  4 Y 3.59, 6 Sm 3.60-3.64, 2 Pm 3.64
Sm2 0.2217 0.9999 0.3340  6 Sm 3.58-3.64, 5 Y 3.59-3.65, 1 Pm 3.59
Sm3 0.2780 0.2501 0.6655  6 Y 3.57-3.65, 5 Sm 3.58-3.64, 1 Pm 3.60
Sm4 0.4994 0.2516 0.9999  3 Y 3.59, 7 Sm 3.60-3.66, 2 Pm 3.64-3.65
Sm5 0.5006 0.7484 0.0001  3 Y 3.59, 7 Sm 3.60-3.66, 2 Pm 3.64-3.65
Sm6 0.7220 0.7499 0.3345  6 Y 3.57-3.65, 5 Sm 3.58-3.64, 1 Pm 3.60
Sm7 0.7783 0.0001 0.6660  6 Sm 3.58-3.64, 5 Y 3.59-3.65, 1 Pm 3.59
Y1 0.2206 0.5000 0.3343  4 Y 3.57-3.64, 8 Sm 3.57-3.65
Y2 0.2794 0.7484 0.6660  8 Sm 3.57-3.65, 3 Y 3.58-3.64, 1 Pm 3.60
Y3 0.7206 0.2516 0.3340  8 Sm 3.57-3.65, 3 Y 3.58-3.64, 1 Pm 3.60
Y4 0.7794 0.5000 0.6657  4 Y 3.57-3.64, 8 Sm 3.57-3.65

Computed properties:
Magnetic moment in Bohr magnetons per cell: 0.00

=====

Most stable to least stable, the ends of the list are model 2 and model 1.

=====

Model 1:
Below is Pm3SmY7 after structural relaxation, with properties calculated at the PBE level.

a = 7.1318 Å, b = 7.1318 Å, c = 8.7102 Å
α = 90.00°, β = 90.00°, γ = 120.00°
With the nearest neighbours (Å) after each atom.
Fractional coordinates of all 11 atoms:
Pm1 0.0000 0.5000 0.0000  4 Pm 3.57, 5 Y 3.57-3.58, 1 Sm 3.58
Pm2 0.5000 0.0000 0.0000  4 Pm 3.57, 5 Y 3.57-3.58, 1 Sm 3.58
Pm3 0.5000 0.5000 0.0000  4 Pm 3.57, 5 Y 3.57-3.58, 1 Sm 3.58
Sm1 0.3333 0.6667 0.3365  9 Y 3.52-3.57, 3 Pm 3.58
Y1 0.1675 0.3349 0.6647  1 Sm 3.52, 8 Y 3.53-3.58, 2 Pm 3.57
Y2 0.1675 0.8325 0.6647  1 Sm 3.52, 8 Y 3.53-3.58, 2 Pm 3.57
Y3 0.3349 0.1674 0.3361  7 Y 3.51-3.58, 2 Sm 3.57, 2 Pm 3.58
Y4 0.6651 0.8325 0.6647  1 Sm 3.52, 8 Y 3.53-3.58, 2 Pm 3.57
Y5 0.6667 0.3333 0.6638  9 Y 3.51-3.57, 3 Pm 3.58
Y6 0.8326 0.1674 0.3361  7 Y 3.51-3.58, 2 Sm 3.57, 2 Pm 3.58
Y7 0.8326 0.6651 0.3361  7 Y 3.51-3.58, 2 Sm 3.57, 2 Pm 3.58

Computed properties:
Magnetic moment in Bohr magnetons per cell: 0.00

=====

Model 2:
Below is Pm3SmY7 after structural relaxation, with properties calculated at the PBE level.

a = 6.9675 Å, b = 5.5761 Å, c = 10.1414 Å
α = 90.00°, β = 109.84°, γ = 90.00°
With the nearest neighbours (Å) after each atom.
Fractional coordinates of all 11 atoms:
Pm1 0.0000 0.0000 0.0000  2 Sm 3.48, 10 Y 3.54-3.86
Pm2 0.2823 0.5000 0.4989  1 Pm 3.03, 2 Y 3.37-3.38
Pm3 0.7177 0.5000 0.5011  1 Pm 3.03, 2 Y 3.37-3.38
Sm1 0.5000 0.0000 0.0000  2 Pm 3.48, 10 Y 3.53-3.86
Y1 0.0000 0.0000 0.5000  4 Pm 3.41
Y2 0.1451 0.5000 0.7873  3 Y 3.33-3.56, 2 Pm 3.37-3.38
Y3 0.3182 0.5000 0.1366  5 Y 3.33-3.56, 2 Sm 3.53, 2 Pm 3.54
Y4 0.4174 0.0000 0.3295  3 Y 3.25-3.34, 5 Pm 3.57-3.61, 1 Sm 3.58
Y5 0.5826 0.0000 0.6705  3 Y 3.25-3.34, 5 Pm 3.57-3.61, 1 Sm 3.58
Y6 0.6818 0.5000 0.8634  5 Y 3.33-3.56, 2 Sm 3.53, 2 Pm 3.54
Y7 0.8549 0.5000 0.2127  3 Y 3.33-3.56, 2 Pm 3.37-3.38

Computed properties:
Magnetic moment in Bohr magnetons per cell: 0.00

=====

Most stable to least stable, the ends of the list are model 2 and model 1.